Entry 1:
First-principles (PBE) data for crystalline TbPr2Lu at its relaxed geometry, as listed in Alexandria via LeMat-Bulk.

Values from the calculation:
**DOS(E_F)**: 1.7267 states/eV per atom
**Raw total energy**: -4.580 eV/atom
**DFT formation energy**: 98 meV/atom
**Distance to the lowest polymorph of the same formula**: 7.6 kJ/mol of atoms

a b c (Å): 8.1301 8.1301 8.1301
angles (deg): 90.00 90.00 90.00
Space group Fm-3m (No. 225)
Asymmetric unit:
Tb 0.0000 0.0000 0.0000 (multiplicity 4)
Pr 0.2500 0.2500 0.2500 (multiplicity 8)
Lu 0.0000 0.0000 0.5000 (multiplicity 4)


Entry 2:
First-principles (PBE) data for crystalline TbPr2Lu at its relaxed geometry, as listed in Alexandria via LeMat-Bulk.

Values from the calculation:
**DOS(E_F)**: 1.4674 states/eV per atom
**Raw total energy**: -4.654 eV/atom
**DFT formation energy**: 23 meV/atom
**Distance to the lowest polymorph of the same formula**: 0.5 kJ/mol of atoms

a b c (Å): 3.6369 3.6369 10.0654
angles (deg): 90.00 90.00 90.00
Space group P4/mmm (No. 123)
Asymmetric unit:
Tb 0.0000 0.0000 0.0000 (multiplicity 1)
Pr 0.5000 0.5000 0.2538 (multiplicity 2)
Lu 0.0000 0.0000 0.5000 (multiplicity 1)


Entry 3:
First-principles (PBE) data for crystalline Tb4PrLu at its relaxed geometry, as listed in Alexandria via LeMat-Bulk.

Values from the calculation:
**DOS(E_F)**: 1.5931 states/eV per atom
**Raw total energy**: -4.373 eV/atom
**DFT formation energy**: 264 meV/atom

a b c (Å): 9.3198 9.3198 9.3198
angles (deg): 90.00 90.00 90.00
Space group F-43m (No. 216)
Asymmetric unit:
Tb 0.1247 0.1247 0.1247 (multiplicity 16)
Pr 0.0000 0.0000 0.5000 (multiplicity 4)
Lu 0.2500 0.2500 0.7500 (multiplicity 4)


Entry 4:
First-principles (PBE) data for crystalline TbPrLu4 at its relaxed geometry, as listed in Alexandria via LeMat-Bulk.

Values from the calculation:
**DOS(E_F)**: 2.2208 states/eV per atom
**Raw total energy**: -4.304 eV/atom
**DFT formation energy**: 278 meV/atom

a b c (Å): 9.3253 9.3253 9.3253
angles (deg): 90.00 90.00 90.00
Space group F-43m (No. 216)
Asymmetric unit:
Tb 0.0000 0.0000 0.0000 (multiplicity 4)
Pr 0.2500 0.2500 0.7500 (multiplicity 4)
Lu 0.1251 0.1251 0.3749 (multiplicity 16)